[1]
The following is a PBE-GGA calculation of a geometry-optimized InNi3Mo structure, from Alexandria via LeMat-Bulk.

abc: 4.5371 4.5371 4.5371
angles: 90.00 90.00 90.00
With the nearest neighbours (Å) after each atom.
Fractional positions:
In: 0.5000 0.5000 0.5000  12 Ni 3.21
Ni: 0.5000 0.0000 0.0000  2 Mo 2.27
Ni: 0.0000 0.5000 0.0000  2 Mo 2.27
Ni: 0.0000 0.0000 0.5000  2 Mo 2.27
Mo: 0.0000 0.0000 0.0000  6 Ni 2.27

---

[2]
The following is a PBE-GGA calculation of a geometry-optimized InNi2Mo structure, from Alexandria via LeMat-Bulk.

abc: 4.1847 2.7424 5.1992
angles: 74.73 90.00 90.00
With the nearest neighbours (Å) after each atom.
Fractional positions:
Ni: 0.5000 0.0561 0.2633  4 Ni 2.54-2.74, 3 Mo 2.67-2.73, 4 In 2.67-2.68
Ni: 0.0000 0.1979 0.9776  4 Ni 2.54-2.74, 3 In 2.64-2.75, 4 Mo 2.64-2.65
In: 0.0000 0.4614 0.4522  7 Ni 2.64-2.75, 2 In 2.74
Mo: 0.5000 0.7846 0.8068  7 Ni 2.64-2.73, 2 Mo 2.74

---

[3]
The following is a PBE-GGA calculation of a geometry-optimized InNi2Mo structure, from Alexandria via LeMat-Bulk.

abc: 2.7711 4.5625 4.5625
angles: 90.00 90.00 90.00
With the nearest neighbours (Å) after each atom.
Fractional positions:
In: 0.5000 0.5000 0.0000  8 Ni 2.67, 2 In 2.77
Mo: 0.5000 0.0000 0.5000  8 Ni 2.67, 2 Mo 2.77
Ni: 0.0000 0.0000 0.0000  4 In 2.67, 4 Mo 2.67, 2 Ni 2.77
Ni: 0.0000 0.5000 0.5000  4 In 2.67, 4 Mo 2.67, 2 Ni 2.77

---

[4]
The following is a PBE-GGA calculation of a geometry-optimized InNi2Mo structure, from Alexandria via LeMat-Bulk.

abc: 5.3277 5.3277 5.3277
angles: 149.74 129.96 59.61
With the nearest neighbours (Å) after each atom.
Fractional positions:
Mo: 0.2326 0.7326 0.5000  6 Ni 2.64-2.67, 2 Mo 2.78, 2 In 2.93
Ni: 0.7656 0.2656 0.5000  4 Ni 2.50-2.78, 4 Mo 2.67, 2 In 2.73
Ni: 0.9900 0.9900 0.0000  4 Ni 2.50-2.78, 2 Mo 2.64, 4 In 2.66
In: 0.5117 0.5117 0.0000  6 Ni 2.66-2.73, 2 In 2.78, 2 Mo 2.93

---

[5]
The following is a PBE-GGA calculation of a geometry-optimized InNiMo3 structure, from Alexandria via LeMat-Bulk.

abc: 4.5218 4.5218 4.5218
angles: 90.00 90.00 90.00
With the nearest neighbours (Å) after each atom.
Fractional positions:
Mo: 0.5000 0.0000 0.0000  2 Ni 2.26
Mo: 0.0000 0.5000 0.0000  2 Ni 2.26
Mo: 0.0000 0.0000 0.5000  2 Ni 2.26
Ni: 0.0000 0.0000 0.0000  6 Mo 2.26
In: 0.5000 0.5000 0.5000  12 Mo 3.20

---

[6]
The following is a PBE-GGA calculation of a geometry-optimized InNi2Mo structure, from Alexandria via LeMat-Bulk.

abc: 3.9138 3.9138 8.9364
angles: 77.35 77.35 90.00
With the nearest neighbours (Å) after each atom.
Fractional positions:
In: 0.0000 0.0000 0.0000  4 Ni 2.58, 4 Mo 2.77
In: 0.7500 0.2500 0.5000  4 Ni 2.58, 4 Mo 2.77
Ni: 0.8750 0.8465 0.7500  2 Mo 2.49, 2 In 2.58, 2 Ni 2.61
Ni: 0.1535 0.6250 0.2500  2 Mo 2.49, 2 In 2.58, 2 Ni 2.61
Ni: 0.5965 0.1250 0.2500  2 Mo 2.49, 2 In 2.58, 2 Ni 2.61
Ni: 0.3750 0.4035 0.7500  2 Mo 2.49, 2 In 2.58, 2 Ni 2.61
Mo: 0.2500 0.7500 0.5000  4 Ni 2.49, 4 In 2.77
Mo: 0.5000 0.5000 0.0000  4 Ni 2.49, 4 In 2.77

---

For the records above, the corresponding E_form values read 1.125, 0.086, 0.150, 0.174, 1.115, 0.593 eV/atom.